Entry 1:
{"formula": "Th4SbH5", "functional": "PBE-GGA", "state": "optimized geometry", "cell": [[-3.7896, -3.5882, -0.4486], [4.1806, -3.8304, -4.6786], [3.8777, -5.0448, 7.5951]], "species": ["Th", "H", "H", "H", "Th", "Th", "Sb", "H", "Sb", "Th", "H", "H", "Th", "Th", "H", "H", "H", "Th", "H", "Th"], "frac_coords": [[0.5984, 0.2538, 0.5000], [0.7601, 0.2299, 0.7165], [0.2399, 0.7299, 0.7835], [0.2399, 0.2701, 0.2165], [0.0606, 0.0000, 0.7018], [0.0606, 0.0000, 0.2982], [0.1047, 0.5000, 0.5000], [0.2399, 0.2701, 0.7835], [0.8953, 0.0000, 0.0000], [0.9394, 0.5000, 0.2018], [0.3178, 0.0000, 0.5000], [0.6822, 0.5000, 0.0000], [0.4016, 0.2462, 0.0000], [0.4016, 0.7538, 0.0000], [0.2399, 0.7299, 0.2165], [0.7601, 0.7701, 0.7165], [0.7601, 0.2299, 0.2835], [0.9394, 0.5000, 0.7982], [0.7601, 0.7701, 0.2835], [0.5984, 0.7462, 0.5000]], "spacegroup": "Pmmn (59)", "dft_energy_ev_per_cell": -107.69}

=====

Entry 2:
{"formula": "Th2SbH", "functional": "PBE-GGA", "state": "optimized geometry", "cell": [[-0.4109, 3.9133, -0.2284], [-2.3482, 1.8867, 2.5419], [4.7413, 2.7957, 5.3608]], "species": ["Th", "Sb", "Th", "H"], "frac_coords": [[0.2662, 0.2662, 0.2015], [0.5000, 0.5000, 0.5000], [0.7338, 0.7338, 0.7985], [0.0000, 0.0000, 0.0000]], "de_polymorph_mev_per_atom": 103, "spacegroup": "R-3m (166)", "dft_energy_ev_per_cell": -23.96}

=====

Copy entry 1 word for word.
{"formula": "Th4SbH5", "functional": "PBE-GGA", "state": "optimized geometry", "cell": [[-3.7896, -3.5882, -0.4486], [4.1806, -3.8304, -4.6786], [3.8777, -5.0448, 7.5951]], "species": ["Th", "H", "H", "H", "Th", "Th", "Sb", "H", "Sb", "Th", "H", "H", "Th", "Th", "H", "H", "H", "Th", "H", "Th"], "frac_coords": [[0.5984, 0.2538, 0.5000], [0.7601, 0.2299, 0.7165], [0.2399, 0.7299, 0.7835], [0.2399, 0.2701, 0.2165], [0.0606, 0.0000, 0.7018], [0.0606, 0.0000, 0.2982], [0.1047, 0.5000, 0.5000], [0.2399, 0.2701, 0.7835], [0.8953, 0.0000, 0.0000], [0.9394, 0.5000, 0.2018], [0.3178, 0.0000, 0.5000], [0.6822, 0.5000, 0.0000], [0.4016, 0.2462, 0.0000], [0.4016, 0.7538, 0.0000], [0.2399, 0.7299, 0.2165], [0.7601, 0.7701, 0.7165], [0.7601, 0.2299, 0.2835], [0.9394, 0.5000, 0.7982], [0.7601, 0.7701, 0.2835], [0.5984, 0.7462, 0.5000]], "spacegroup": "Pmmn (59)", "dft_energy_ev_per_cell": -107.69}